(1)
This record from the Alexandria database describes a geometry-optimized GaRuI2N structure. The functional is PBE.

a = 5.773 Å, b = 5.773 Å, c = 3.605 Å
α = 90.00°, β = 90.00°, γ = 90.00°
Site moments in Bohr magnetons follow the coordinates.
Positions (direct):
1 I 0.000 0.500 0.000  0.16
2 I 0.500 0.000 0.000  0.16
3 Ru 0.500 0.500 0.500  2.65
4 Ga 0.000 0.000 0.000  -0.02
5 N 0.000 0.000 0.500  0.49

Computed properties:
Theoretical density = 6.06 g cm⁻³
SG = P4/mmm (123)
Volume = 24.03 Å³ per atom
Excess energy over the best structure of this formula in the dataset = 881 meV/atom
Formation energy without anion corrections = 1117.7 meV per atom
Energy = -18.1 eV/cell
Magnetization = 0.7890 μB per atom


(2)
This record from the Alexandria database describes a geometry-optimized Ce2CuSnAu6 structure. The functional is PBE.

a = 7.102 Å, b = 7.131 Å, c = 7.131 Å
α = 44.97°, β = 83.14°, γ = 103.51°
Site moments in Bohr magnetons follow the coordinates.
Positions (direct):
1 Ce 0.246 0.747 0.495  0.89
2 Ce 0.754 0.253 0.505  0.89
3 Au 0.670 0.692 0.475  0.00
4 Au 0.250 0.747 0.063  0.01
5 Au 0.941 0.785 0.816  0.01
6 Au 0.330 0.308 0.525  0.00
7 Au 0.059 0.215 0.184  0.01
8 Au 0.750 0.253 0.937  0.01
9 Cu 0.000 0.000 0.000  0.01
10 Sn 0.500 0.500 0.000  -0.01

Computed properties:
Theoretical density = 12.09 g cm⁻³
SG = P-1 (2)
Volume = 22.59 Å³ per atom
ΔE_f = -0.35 eV per atom
Energy = -43.1 eV/cell
Magnetization = 0.2083 μB per atom